No. 1
Computed, not measured: a geometry-optimized Sm5Ho8Mg structure at the PBE level of DFT.

Space-group type: No. 82
Formation enthalpy at 0 K in eV per atom: 0.23
E in eV per atom: -4.188

The structure in CIF format:
```
data_Sm5Ho8Mg
_chemical_formula_sum 'Sm5 Ho8 Mg1'
_cell_length_a 8.410
_cell_length_b 8.410
_cell_length_c 8.410
_cell_angle_alpha 110.47
_cell_angle_beta 110.47
_cell_angle_gamma 107.49
_symmetry_space_group_name_H-M 'P 1'
_symmetry_Int_Tables_number 1
loop_
_symmetry_equiv_pos_as_xyz
'x,y,z'
loop_
_atom_site_label
_atom_site_fract_x
_atom_site_fract_y
_atom_site_fract_z
Sm1 0.000 0.000 0.000
Sm2 0.317 0.632 0.108
Sm3 0.368 0.476 0.684
Sm4 0.524 0.209 0.892
Sm5 0.791 0.683 0.316
Ho1 0.023 0.419 0.257
Ho2 0.063 0.158 0.730
Ho3 0.162 0.766 0.743
Ho4 0.234 0.977 0.396
Ho5 0.429 0.333 0.270
Ho6 0.581 0.838 0.604
Ho7 0.667 0.937 0.095
Ho8 0.842 0.571 0.905
Mg1 0.750 0.250 0.500
```

No. 2
Computed, not measured: a geometry-optimized Sm14HoMg structure at the PBE level of DFT.

Space-group type: No. 38
Formation enthalpy at 0 K in eV per atom: 0.01
E in eV per atom: -4.502

The structure in CIF format:
```
data_Sm14HoMg
_chemical_formula_sum 'Sm14 Ho1 Mg1'
_cell_length_a 10.182
_cell_length_b 7.191
_cell_length_c 7.191
_cell_angle_alpha 90.01
_cell_angle_beta 90.00
_cell_angle_gamma 90.00
_symmetry_space_group_name_H-M 'P 1'
_symmetry_Int_Tables_number 1
loop_
_symmetry_equiv_pos_as_xyz
'x,y,z'
loop_
_atom_site_label
_atom_site_fract_x
_atom_site_fract_y
_atom_site_fract_z
Sm1 0.000 0.000 0.000
Sm2 0.000 0.000 0.500
Sm3 0.000 0.500 0.000
Sm4 0.000 0.500 0.500
Sm5 0.253 0.250 0.250
Sm6 0.253 0.250 0.750
Sm7 0.253 0.750 0.250
Sm8 0.253 0.750 0.750
Sm9 0.500 0.000 0.500
Sm10 0.500 0.500 0.000
Sm11 0.747 0.250 0.250
Sm12 0.747 0.250 0.750
Sm13 0.747 0.750 0.250
Sm14 0.747 0.750 0.750
Ho1 0.500 0.000 0.000
Mg1 0.500 0.499 0.499
```